Entry 1:
{"formula": "CePrIN2", "functional": "PBE", "state": "relaxed", "space_group": "No. 11", "volume_a3_per_cell": 250.4, "formation_energy_uncorrected_ev_per_atom": -1.4961, "lattice": [[-0.470, 0.728, 4.170], [1.002, -7.259, 1.380], [7.456, 3.432, 0.242]], "species": ["N", "N", "N", "N", "I", "I", "Ce", "Ce", "Pr", "Pr"], "frac_coords": [[0.750, 0.516, 0.390], [0.250, 0.497, 0.137], [0.750, 0.503, 0.863], [0.250, 0.484, 0.610], [0.750, 0.962, 0.240], [0.250, 0.038, 0.760], [0.750, 0.365, 0.594], [0.250, 0.635, 0.406], [0.750, 0.348, 0.083], [0.250, 0.652, 0.917]]}


Entry 2:
{"formula": "CePrI2N", "functional": "PBE", "state": "relaxed", "space_group": "No. 129", "volume_a3_per_cell": 281.6, "formation_energy_uncorrected_ev_per_atom": -1.3255, "lattice": [[-1.656, -3.701, -1.263], [2.086, -1.996, 3.115], [-12.162, 2.186, 9.543]], "species": ["I", "I", "I", "I", "Ce", "Ce", "Pr", "Pr", "N", "N"], "frac_coords": [[0.000, 0.500, 0.700], [0.000, 0.500, 0.139], [0.500, 0.000, 0.300], [0.500, 0.000, 0.861], [0.500, 0.000, 0.564], [0.000, 0.500, 0.436], [0.000, 0.500, 0.923], [0.500, 0.000, 0.077], [0.000, 0.000, 0.500], [0.500, 0.500, 0.500]]}